Crystalline Na2PdF6 at its relaxed geometry. Source: Alexandria, functional PBE-GGA.

```
27
Lattice="9.3992 0.0000 0.0000 -4.6996 8.1400 0.0000 0.0000 0.0000 5.2450" Properties=species:S:1:pos:R:3 pbc="T T T"
Na -1.3849 2.3987 0.0000
Na -2.9653 5.1360 2.6225
Na 2.7698 0.0000 0.0000
Na 1.7343 3.0040 2.6225
Na 5.9305 0.0000 2.6225
Na 3.3147 5.7413 0.0000
Pd 0.0000 0.0000 2.6225
Pd 0.0000 5.4267 5.2046
Pd 4.6996 2.7133 0.0403
F -3.3265 7.2727 3.7059
F 0.0645 1.6228 3.7059
F -1.2842 4.4597 4.0952
F 1.3731 0.8673 1.5391
F -1.4595 6.1092 1.0657
F 0.1386 3.8214 1.0657
F -0.1953 7.0223 4.0952
F 1.4795 4.7980 4.0952
F 3.2401 2.0307 4.1793
F 1.3209 6.3494 1.0657
F 4.5043 1.1177 1.1498
F 3.4154 3.6803 1.1498
F 6.0205 1.7906 4.1793
F 4.8383 4.3186 4.1793
F 3.2620 7.3845 3.7059
F 6.1791 3.3420 1.1498
F 7.9616 0.7555 1.5391
F 4.7641 6.5172 1.5391
```

Summary:
formation energy (no corrections)	-2.0474	eV/atom
energy	-37.49	eV per formula unit
symmetry	P321, No. 150
magnetization	0.0	μB/cell
density	3.307	g/cm³